The following is a PBE with a Hubbard U calculation of BaZnCoF2 after structural relaxation, from Alexandria.

Values from the calculation:
The calculation puts the raw total energy at -17.96 eV per formula unit. The density of states at the Fermi level comes out at 0.23 states/eV per atom. The crystal system is tetragonal. The space-group type is P4/mmm, No. 123.

abc: 4.625 4.625 4.809
angles: 90.00 90.00 90.00
Positions (direct):
Ba 0.000 0.000 0.000
Zn 0.500 0.500 0.500
Co 0.500 0.500 0.000
F 0.000 0.500 0.500
F 0.500 0.000 0.500